Record 1
! GGA-PBE Ac2CuIr2, relaxed; values from VASP
! **ΔH_f (0 K)**: -0.468 eV/atom
&SYSTEM
  ibrav = 0, nat = 5, ntyp = 3
/
ATOMIC_SPECIES
Ac 227.00 Ac.upf
Cu 63.55 Cu.upf
Ir 192.22 Ir.upf
ATOMIC_POSITIONS angstrom
Ac 2.6297 -2.8054 3.7700
Ac 0.5363 -5.8843 4.6647
Cu -0.5725 -3.3526 2.5350
Ir 1.1278 -1.9340 1.0979
Ir 2.0382 -6.7556 7.3368
CELL_PARAMETERS angstrom
-1.3827 -0.9878 4.0222
0.2378 -5.7175 1.0478
4.3109 -1.9844 3.3647

***

Record 2
! GGA-PBE AcCu4Ir, relaxed; values from VASP
! **ΔH_f (0 K)**: 0.062 eV/atom
&SYSTEM
  ibrav = 0, nat = 12, ntyp = 3
/
ATOMIC_SPECIES
Ac 227.00 Ac.upf
Cu 63.55 Cu.upf
Ir 192.22 Ir.upf
ATOMIC_POSITIONS angstrom
Ac -2.5036 0.1284 0.5580
Ac -7.5705 2.1382 0.5666
Cu -2.8283 0.6547 -2.6825
Cu -0.1346 1.7983 -1.0175
Cu -6.6295 0.5882 -2.2973
Cu -3.4446 1.6783 3.4219
Cu -5.3485 0.8701 2.2451
Cu -4.7256 1.3965 -1.1205
Cu -4.6950 -1.3193 -1.7108
Cu -5.3791 3.5859 2.8354
Ir -6.1999 -0.4083 0.0982
Ir -3.8742 2.6749 1.0263
CELL_PARAMETERS angstrom
-0.2691 3.5967 -2.0350
-5.3874 -2.2872 -3.3300
-4.4175 0.9571 6.4896

***

Record 3
! GGA-PBE Ac3CuIr, relaxed; values from VASP
! **ΔH_f (0 K)**: -0.271 eV/atom
&SYSTEM
  ibrav = 0, nat = 10, ntyp = 3
/
ATOMIC_SPECIES
Ac 227.00 Ac.upf
Cu 63.55 Cu.upf
Ir 192.22 Ir.upf
ATOMIC_POSITIONS angstrom
Ac 2.9901 3.4444 6.5657
Ac 0.0000 0.8284 1.7507
Ac 2.9901 -0.3554 7.7503
Ac 0.0000 4.6283 0.5661
Ac 2.9901 3.2549 2.9019
Ac 0.0000 1.0180 5.4145
Cu 0.0000 4.0264 4.0056
Cu 2.9901 0.2465 4.3108
Ir 0.0000 -0.1254 8.0834
Ir 2.9901 4.3983 0.2330
CELL_PARAMETERS angstrom
5.9802 0.0000 0.0000
-2.9901 6.3579 -0.7288
0.0000 -2.0850 9.0452

***

Total magnetic moment: 0.00 0.00 0.00 (Bohr magnetons per cell)